First-principles (PBE) data for La5Ho5Th2 after structural relaxation, as listed in Alexandria via LeMat-Bulk.

The calculated formation energy is 0.041 eV/atom. The total energy comes out at -5.16 eV/atom.

It has space group P-1 (No. 2), with a = 6.2356 Å, b = 8.1118 Å, c = 8.9088 Å, α = 111.11°, β = 90.28° and γ = 104.95°. The asymmetric unit holds La at (0.0000, 0.0000, 0.0000), La at (0.0806, 0.7388, 0.5807), La at (0.2545, 0.2632, 0.7552), Ho at (0.3355, 0.9951, 0.3294), Ho at (0.4154, 0.7473, 0.9169), Ho at (0.5000, 0.5000, 0.5000) and Th at (0.1641, 0.5029, 0.1616).

=====

First-principles (PBE) data for LaHo8Th6 after structural relaxation, as listed in Alexandria via LeMat-Bulk.

The calculated formation energy is 0.158 eV/atom. The total energy comes out at -5.58 eV/atom.

It has space group R-3 (No. 148, hexagonal axes), with a = 8.8405 Å, b = 8.8405 Å, c = 21.3165 Å, α = 90.00°, β = 90.00° and γ = 120.00°. The asymmetric unit holds La at (0.0000, 0.0000, 0.0000), Ho at (0.0000, 0.0000, 0.4205), Ho at (0.0601, 0.8050, 0.1341) and Th at (0.0233, 0.2441, 0.7081).

=====

First-principles (PBE) data for La2Ho4Th after structural relaxation, as listed in Alexandria via LeMat-Bulk.

The calculated formation energy is 0.034 eV/atom. The total energy comes out at -5.05 eV/atom.

It has space group Cm (No. 8), with a = 6.2681 Å, b = 3.6071 Å, c = 20.4932 Å, α = 90.00°, β = 95.91° and γ = 90.00°. The asymmetric unit holds La at (0.0000, 0.0000, 0.0000), La at (0.0896, 0.0000, 0.2884), Ho at (0.2781, 0.0000, 0.8520), Ho at (0.3076, 0.5000, 0.4334), Ho at (0.3748, 0.0000, 0.1460), Ho at (0.3985, 0.5000, 0.7152) and Th at (0.1806, 0.0000, 0.5739).

=====

First-principles (PBE) data for La4Ho2Th3 after structural relaxation, as listed in Alexandria via LeMat-Bulk.

The calculated formation energy is 0.085 eV/atom. The total energy comes out at -5.60 eV/atom.

It has space group P3m1 (No. 156), with a = 3.5909 Å, b = 3.5909 Å, c = 27.4061 Å, α = 90.00°, β = 90.00° and γ = 120.00°. The asymmetric unit holds La at (0.0000, 0.0000, 0.0000), La at (0.0000, 0.0000, 0.2169), La at (0.3333, 0.6667, 0.3375), La at (0.3333, 0.6667, 0.5565), Ho at (0.0000, 0.0000, 0.6666), Ho at (0.0000, 0.0000, 0.8756), Th at (0.0000, 0.0000, 0.4461), Th at (0.3333, 0.6667, 0.1088) and Th at (0.3333, 0.6667, 0.7731).

=====

First-principles (PBE) data for La12Ho3Th after structural relaxation, as listed in Alexandria via LeMat-Bulk.

The calculated formation energy is 0.020 eV/atom. The total energy comes out at -5.00 eV/atom.

It has space group P4/mmm (No. 123), with a = 5.2058 Å, b = 5.2058 Å, c = 20.8118 Å, α = 90.00°, β = 90.00° and γ = 90.00°. The asymmetric unit holds La at (0.0000, 0.0000, 0.0000), La at (0.0000, 0.0000, 0.2473), La at (0.0000, 0.0000, 0.5000), La at (0.0000, 0.5000, 0.1248), La at (0.0000, 0.5000, 0.3779), Ho at (0.5000, 0.5000, 0.0000), Ho at (0.5000, 0.5000, 0.2486) and Th at (0.5000, 0.5000, 0.5000).

=====

First-principles (PBE) data for La3HoTh2 after structural relaxation, as listed in Alexandria via LeMat-Bulk.

The calculated formation energy is 0.404 eV/atom. The total energy comes out at -5.30 eV/atom.

It has space group R-3m (No. 166, hexagonal axes), with a = 11.8660 Å, b = 11.8660 Å, c = 10.1515 Å, α = 90.00°, β = 90.00° and γ = 120.00°. The asymmetric unit holds La at (0.0005, 0.5003, 0.1663), Ho at (0.0000, 0.0000, 0.1632), Th at (0.0000, 0.0000, 0.5000) and Th at (0.0000, 0.5000, 0.5000).

=====

First-principles (PBE) data for La9HoTh2 after structural relaxation, as listed in Alexandria via LeMat-Bulk.

The calculated formation energy is 0.037 eV/atom. The total energy comes out at -5.28 eV/atom.

It has space group P4/mmm (No. 123), with a = 5.1894 Å, b = 5.1894 Å, c = 15.5768 Å, α = 90.00°, β = 90.00° and γ = 90.00°. The asymmetric unit holds La at (0.0000, 0.0000, 0.0000), La at (0.0000, 0.0000, 0.3335), La at (0.0000, 0.5000, 0.1698), La at (0.0000, 0.5000, 0.5000), Ho at (0.5000, 0.5000, 0.0000) and Th at (0.5000, 0.5000, 0.3330).

=====

First-principles (PBE) data for LaHo3Th after structural relaxation, as listed in Alexandria via LeMat-Bulk.

The calculated formation energy is 0.196 eV/atom. The total energy comes out at -5.02 eV/atom.

It has space group C2/m (No. 12), with a = 17.9622 Å, b = 3.4369 Å, c = 11.3019 Å, α = 90.00°, β = 107.19° and γ = 90.00°. The asymmetric unit holds La at (0.0984, 0.0000, 0.0535), Ho at (0.0076, 0.0000, 0.7301), Ho at (0.1978, 0.5000, 0.8603), Ho at (0.1986, 0.0000, 0.3681) and Th at (0.1006, 0.5000, 0.5411).

=====

The records above give, respectively, calculated density values of 8.2; 9.8; 8.4; 8.6; 7.0; 8.4; 7.4; 8.6 g cm⁻³.
The records above give, respectively, M_tot values of 0.000; 0.000; 0.000; 0.000; 0.000; 0.000; 0.000; 0.000 μB/atom.